(1)
# ScAgP2, relaxed, DFT GGA-PBE
data_ScAgP2
_cell_length_a 4.593
_cell_length_b 4.593
_cell_length_c 4.593
_cell_angle_alpha 60.00
_cell_angle_beta 60.00
_cell_angle_gamma 60.00
_space_group_name_H-M_alt 'P 1'
_space_group_IT_number 1
loop_
_space_group_symop_operation_xyz
'x,y,z'
loop_
_atom_site_label
_atom_site_fract_x
_atom_site_fract_y
_atom_site_fract_z
Sc1 0.000 0.000 0.000
Ag1 0.750 0.750 0.750
P1 0.250 0.250 0.250
P2 0.500 0.500 0.500
# M_tot   0.00 μB per formula unit
# ΔE_f   -13 meV per atom
# Density   5206 kg/m3

---

(2)
# ScAgP2, relaxed, DFT GGA-PBE
data_ScAgP2
_cell_length_a 5.935
_cell_length_b 5.935
_cell_length_c 5.935
_cell_angle_alpha 38.91
_cell_angle_beta 38.91
_cell_angle_gamma 38.91
_space_group_name_H-M_alt 'P 1'
_space_group_IT_number 1
loop_
_space_group_symop_operation_xyz
'x,y,z'
loop_
_atom_site_label
_atom_site_fract_x
_atom_site_fract_y
_atom_site_fract_z
Sc1 0.000 0.000 0.000
Ag1 0.500 0.500 0.500
P1 0.252 0.252 0.252
P2 0.748 0.748 0.748
# M_tot   0.00 μB per formula unit
# ΔE_f   -327 meV per atom
# Density   4809 kg/m3

---

(3)
# ScAgP2, relaxed, DFT GGA-PBE
data_ScAgP2
_cell_length_a 4.375
_cell_length_b 4.375
_cell_length_c 3.498
_cell_angle_alpha 90.00
_cell_angle_beta 90.00
_cell_angle_gamma 90.40
_space_group_name_H-M_alt 'P 1'
_space_group_IT_number 1
loop_
_space_group_symop_operation_xyz
'x,y,z'
loop_
_atom_site_label
_atom_site_fract_x
_atom_site_fract_y
_atom_site_fract_z
Sc1 0.000 0.000 0.000
Ag1 0.500 0.500 0.000
P1 0.000 0.500 0.500
P2 0.500 0.000 0.500
# M_tot   0.00 μB per formula unit
# ΔE_f   -388 meV per atom
# Density   5328 kg/m3

---

(4)
# ScAgP2, relaxed, DFT GGA-PBE
data_ScAgP2
_cell_length_a 3.336
_cell_length_b 3.336
_cell_length_c 16.865
_cell_angle_alpha 90.00
_cell_angle_beta 90.00
_cell_angle_gamma 120.00
_space_group_name_H-M_alt 'P 1'
_space_group_IT_number 1
loop_
_space_group_symop_operation_xyz
'x,y,z'
loop_
_atom_site_label
_atom_site_fract_x
_atom_site_fract_y
_atom_site_fract_z
Sc1 0.000 0.000 0.000
Sc2 0.000 0.000 0.500
Ag1 0.333 0.667 0.250
Ag2 0.667 0.333 0.750
P1 0.333 0.667 0.108
P2 0.333 0.667 0.392
P3 0.667 0.333 0.608
P4 0.667 0.333 0.892
# M_tot   0.00 μB per formula unit
# ΔE_f   -152 meV per atom
# Density   4389 kg/m3

---

(5)
# ScAg2P2, relaxed, DFT GGA-PBE
data_ScAg2P2
_cell_length_a 7.018
_cell_length_b 7.018
_cell_length_c 3.697
_cell_angle_alpha 90.00
_cell_angle_beta 90.00
_cell_angle_gamma 90.00
_space_group_name_H-M_alt 'P 1'
_space_group_IT_number 1
loop_
_space_group_symop_operation_xyz
'x,y,z'
loop_
_atom_site_label
_atom_site_fract_x
_atom_site_fract_y
_atom_site_fract_z
Sc1 0.000 0.000 0.000
Sc2 0.500 0.500 0.000
Ag1 0.144 0.356 0.500
Ag2 0.356 0.856 0.500
Ag3 0.644 0.144 0.500
Ag4 0.856 0.644 0.500
P1 0.161 0.661 0.000
P2 0.339 0.161 0.000
P3 0.661 0.839 0.000
P4 0.839 0.339 0.000
# M_tot   0.00 μB per formula unit
# ΔE_f   -136 meV per atom
# Density   5884 kg/m3
# Excess energy over the best structure of this formula in the dataset   101 meV/atom

---

(6)
# ScAg3P, relaxed, DFT GGA-PBE
data_ScAg3P
_cell_length_a 4.742
_cell_length_b 4.742
_cell_length_c 4.742
_cell_angle_alpha 90.00
_cell_angle_beta 90.00
_cell_angle_gamma 90.00
_space_group_name_H-M_alt 'P 1'
_space_group_IT_number 1
loop_
_space_group_symop_operation_xyz
'x,y,z'
loop_
_atom_site_label
_atom_site_fract_x
_atom_site_fract_y
_atom_site_fract_z
Sc1 0.000 0.000 0.000
Ag1 0.000 0.500 0.500
Ag2 0.500 0.000 0.500
Ag3 0.500 0.500 0.000
P1 0.500 0.500 0.500
# M_tot   0.69 μB per formula unit
# ΔE_f   299 meV per atom
# Density   6222 kg/m3
# Excess energy over the best structure of this formula in the dataset   0 meV/atom

---

(7)
# ScAgP2, relaxed, DFT GGA-PBE
data_ScAgP2
_cell_length_a 4.599
_cell_length_b 4.599
_cell_length_c 4.599
_cell_angle_alpha 60.00
_cell_angle_beta 60.00
_cell_angle_gamma 60.00
_space_group_name_H-M_alt 'P 1'
_space_group_IT_number 1
loop_
_space_group_symop_operation_xyz
'x,y,z'
loop_
_atom_site_label
_atom_site_fract_x
_atom_site_fract_y
_atom_site_fract_z
Sc1 0.000 0.000 0.000
Ag1 0.500 0.500 0.500
P1 0.250 0.250 0.250
P2 0.750 0.750 0.750
# M_tot   0.00 μB per formula unit
# ΔE_f   -228 meV per atom
# Density   5185 kg/m3

---

(8)
# ScAg2P, relaxed, DFT GGA-PBE
data_ScAg2P
_cell_length_a 9.054
_cell_length_b 9.054
_cell_length_c 9.054
_cell_angle_alpha 19.87
_cell_angle_beta 19.87
_cell_angle_gamma 19.87
_space_group_name_H-M_alt 'P 1'
_space_group_IT_number 1
loop_
_space_group_symop_operation_xyz
'x,y,z'
loop_
_atom_site_label
_atom_site_fract_x
_atom_site_fract_y
_atom_site_fract_z
Sc1 0.000 0.000 0.000
Ag1 0.244 0.244 0.244
Ag2 0.756 0.756 0.756
P1 0.500 0.500 0.500
# M_tot   0.00 μB per formula unit
# ΔE_f   203 meV per atom
# Density   6458 kg/m3
# Excess energy over the best structure of this formula in the dataset   637 meV/atom

---

(9)
# ScAgP2, relaxed, DFT GGA-PBE
data_ScAgP2
_cell_length_a 5.783
_cell_length_b 5.783
_cell_length_c 3.788
_cell_angle_alpha 105.82
_cell_angle_beta 105.82
_cell_angle_gamma 38.99
_space_group_name_H-M_alt 'P 1'
_space_group_IT_number 1
loop_
_space_group_symop_operation_xyz
'x,y,z'
loop_
_atom_site_label
_atom_site_fract_x
_atom_site_fract_y
_atom_site_fract_z
Sc1 0.000 0.000 0.000
Ag1 0.733 0.733 0.265
P1 0.356 0.356 0.115
P2 0.549 0.549 0.543
# M_tot   0.00 μB per formula unit
# ΔE_f   -512 meV per atom
# Density   4673 kg/m3

---

(10)
# ScAgP3, relaxed, DFT GGA-PBE
data_ScAgP3
_cell_length_a 4.913
_cell_length_b 4.913
_cell_length_c 4.913
_cell_angle_alpha 90.00
_cell_angle_beta 90.00
_cell_angle_gamma 90.00
_space_group_name_H-M_alt 'P 1'
_space_group_IT_number 1
loop_
_space_group_symop_operation_xyz
'x,y,z'
loop_
_atom_site_label
_atom_site_fract_x
_atom_site_fract_y
_atom_site_fract_z
Sc1 0.000 0.000 0.000
Ag1 0.500 0.500 0.500
P1 0.000 0.000 0.500
P2 0.000 0.500 0.000
P3 0.500 0.000 0.000
# M_tot   0.00 μB per formula unit
# ΔE_f   547 meV per atom
# Density   3440 kg/m3
# Excess energy over the best structure of this formula in the dataset   0 meV/atom

---

(11)
# ScAg2P, relaxed, DFT GGA-PBE
data_ScAg2P
_cell_length_a 3.734
_cell_length_b 3.734
_cell_length_c 5.363
_cell_angle_alpha 90.00
_cell_angle_beta 90.00
_cell_angle_gamma 90.00
_space_group_name_H-M_alt 'P 1'
_space_group_IT_number 1
loop_
_space_group_symop_operation_xyz
'x,y,z'
loop_
_atom_site_label
_atom_site_fract_x
_atom_site_fract_y
_atom_site_fract_z
Sc1 0.000 0.000 0.000
Ag1 0.500 0.500 0.253
Ag2 0.500 0.500 0.747
P1 0.000 0.000 0.500
# M_tot   0.00 μB per formula unit
# ΔE_f   -193 meV per atom
# Density   6479 kg/m3
# Excess energy over the best structure of this formula in the dataset   242 meV/atom

---

(12)
# ScAg2P, relaxed, DFT GGA-PBE
data_ScAg2P
_cell_length_a 4.685
_cell_length_b 4.685
_cell_length_c 4.685
_cell_angle_alpha 60.00
_cell_angle_beta 60.00
_cell_angle_gamma 60.00
_space_group_name_H-M_alt 'P 1'
_space_group_IT_number 1
loop_
_space_group_symop_operation_xyz
'x,y,z'
loop_
_atom_site_label
_atom_site_fract_x
_atom_site_fract_y
_atom_site_fract_z
Sc1 0.000 0.000 0.000
Ag1 0.250 0.250 0.250
Ag2 0.750 0.750 0.750
P1 0.500 0.500 0.500
# M_tot   0.00 μB per formula unit
# ΔE_f   -11 meV per atom
# Density   6659 kg/m3
# Excess energy over the best structure of this formula in the dataset   424 meV/atom